# 1
A relaxed LaThIn crystal. Source: the Alexandria database, functional GGA-PBE.

The structure belongs to space group C2/m (No. 12); the cell edges are 11.1989, 4.4534 and 7.9077 Å and the angles 90.00°, 110.44° and 90.00°. Symmetry generates all atoms from La at (0.1569, 0.0000, 0.0805), Th at (0.1561, 0.0000, 0.5756) and In at (0.0006, 0.5000, 0.2549).

Its energy relative to the elements is -0.23 eV/atom. The energy above the lowest structure with this stoichiometry is 0 meV per atom.

---

# 2
A relaxed PrSc2Se crystal. Source: the Alexandria database, functional GGA-PBE.

The structure belongs to space group R3m (No. 160, hexagonal axes); the cell edges are 3.6436, 3.6436 and 27.2601 Å and the angles 90.00°, 90.00° and 120.00°. Symmetry generates all atoms from Pr at (0.0000, 0.0000, 0.0000), Sc at (0.0000, 0.0000, 0.2288), Sc at (0.0000, 0.0000, 0.4387) and Se at (0.0000, 0.0000, 0.8337).

The uncorrected formation energy is -0.715 eV per atom. The energy above the lowest structure with this stoichiometry is 0 meV per atom.

---

# 3
A relaxed AlAgPt2 crystal. Source: the Alexandria database, functional GGA-PBE.

The structure belongs to space group P4/mmm (No. 123); the cell edges are 2.9119, 2.9119 and 7.3560 Å and the angles 90.00°, 90.00° and 90.00°. Symmetry generates all atoms from Al at (0.0000, 0.0000, 0.0000), Ag at (0.0000, 0.0000, 0.5000) and Pt at (0.5000, 0.5000, 0.2151).

Its energy relative to the elements is -0.65 eV/atom. The energy above the lowest structure with this stoichiometry is 0 meV per atom.